i:
# SrW, relaxed, DFT PBE
data_SrW
_cell_length_a 3.793
_cell_length_b 3.793
_cell_length_c 3.793
_cell_angle_alpha 90.00
_cell_angle_beta 90.00
_cell_angle_gamma 90.00
_space_group_name_H-M_alt 'P 1'
_space_group_IT_number 1
_space_group_name_Hall 'P 1'
loop_
_atom_site_label
_atom_site_type_symbol
_atom_site_fract_x
_atom_site_fract_y
_atom_site_fract_z
W1 W 0.500 0.500 0.500
Sr1 Sr 0.000 0.000 0.000
# - SG: Pm-3m, No. 221

ii:
# SrW, relaxed, DFT PBE
data_SrW
_cell_length_a 10.717
_cell_length_b 10.717
_cell_length_c 10.717
_cell_angle_alpha 19.34
_cell_angle_beta 19.34
_cell_angle_gamma 19.34
_space_group_name_H-M_alt 'P 1'
_space_group_IT_number 1
_space_group_name_Hall 'P 1'
loop_
_atom_site_label
_atom_site_type_symbol
_atom_site_fract_x
_atom_site_fract_y
_atom_site_fract_z
W1 W 0.231 0.231 0.231
W2 W 0.519 0.519 0.519
Sr1 Sr 0.767 0.767 0.767
Sr2 Sr 0.983 0.983 0.983
# - SG: R-3m, No. 166

iii:
# SrW, relaxed, DFT PBE
data_SrW
_cell_length_a 13.815
_cell_length_b 13.815
_cell_length_c 3.351
_cell_angle_alpha 90.00
_cell_angle_beta 90.00
_cell_angle_gamma 90.00
_space_group_name_H-M_alt 'P 1'
_space_group_IT_number 1
_space_group_name_Hall 'P 1'
loop_
_atom_site_label
_atom_site_type_symbol
_atom_site_fract_x
_atom_site_fract_y
_atom_site_fract_z
W1 W 0.774 0.692 0.000
W2 W 0.692 0.226 0.000
W3 W 0.192 0.726 0.500
W4 W 0.808 0.274 0.500
W5 W 0.308 0.774 0.000
W6 W 0.226 0.308 0.000
W7 W 0.726 0.808 0.500
W8 W 0.274 0.192 0.500
Sr1 Sr 0.455 0.298 0.000
Sr2 Sr 0.545 0.702 0.000
Sr3 Sr 0.798 0.045 0.500
Sr4 Sr 0.202 0.955 0.500
Sr5 Sr 0.045 0.202 0.500
Sr6 Sr 0.702 0.455 0.000
Sr7 Sr 0.955 0.798 0.500
Sr8 Sr 0.298 0.545 0.000
# - SG: I4/m, No. 87

Ranking the structures above by stability puts ii first and i last.